No. 1
SrTa2W | PBE | relaxed

```
4
Lattice="3.3141 0.0000 0.0000 0.0000 3.3141 0.0000 0.0000 0.0000 8.3986" Properties=species:S:1:pos:R:3 pbc="T T T"
Sr 0.0000 0.0000 0.0000
Ta 1.6570 1.6570 2.7570
Ta 1.6570 1.6570 5.6417
W 0.0000 0.0000 4.1993
```

Results
formation energy = 571 meV per atom
size of the total moment = 0.00 μB per cell
relative energy among the computed polymorphs = 0 meV/atom

No. 2
ZnTeCl3 | PBE | relaxed

```
5
Lattice="5.0074 0.0000 0.0000 0.0000 5.0074 0.0000 0.0000 0.0000 5.0074" Properties=species:S:1:pos:R:3 pbc="T T T"
Zn 0.0000 0.0000 0.0000
Te 2.5037 2.5037 2.5037
Cl 0.0000 0.0000 2.5037
Cl 0.0000 2.5037 0.0000
Cl 2.5037 0.0000 0.0000
```

Results
size of the total moment = 3.00 μB per cell
formation energy without anion corrections = -0.29 eV per atom
relative energy among the computed polymorphs = 0 meV/atom